DFT (PBE-GGA) results for a relaxed structure of BaAs5.

Its crystal system is hexagonal. The excess energy over the best structure of this formula in the dataset comes out at 71.8 meV/atom.

It has space group P6/mmm (No. 191), with a = 6.1780 Å, b = 6.1780 Å, c = 4.3567 Å, α = 90.00°, β = 90.00° and γ = 120.00°. Symmetry generates all atoms from Ba at (0.0000, 0.0000, 0.0000), As at (0.0000, 0.5000, 0.5000) and As at (0.3333, 0.6667, 0.0000).



DFT (PBE-GGA) results for a relaxed structure of Ba7As.

Its crystal system is cubic.

It has space group Fm-3m (No. 225), with a = 11.7604 Å, b = 11.7604 Å, c = 11.7604 Å, α = 90.00°, β = 90.00° and γ = 90.00°. Symmetry generates all atoms from Ba at (0.0000, 0.0000, 0.0000), Ba at (0.0000, 0.2500, 0.2500) and As at (0.0000, 0.0000, 0.5000).



| no. | final energy (eV per formula unit) | E_form (eV per atom) |
| --- | --- | --- |
| 1 | -26.17 | -0.17 |
| 2 | -18.34 | -0.03 |